[1]
## Tl2VGeBr6 (GGA-PBE)

Data for crystalline Tl2VGeBr6 at its relaxed geometry.

**Electronic total energy**: -3.54 eV/atom
**Magnetic moment**: 3.00 μB/cell
**Space group**: Fm-3m (225)
**ΔE_f (raw)**: -685 meV/atom

Lattice parameters (Å, degrees): 7.623 7.623 7.623 60.00 60.00 60.00
Fractional positions:
Tl  0.250  0.250  0.250
Tl  0.750  0.750  0.750
V  0.000  0.000  0.000
Ge  0.500  0.500  0.500
Br  0.243  0.243  0.757
Br  0.243  0.757  0.243
Br  0.243  0.757  0.757
Br  0.757  0.243  0.243
Br  0.757  0.243  0.757
Br  0.757  0.757  0.243



[2]
## PmNiPd2 (GGA-PBE)

Data for crystalline PmNiPd2 at its relaxed geometry.

**Formation energy**: -535 meV/atom
**Electronic total energy**: -5.76 eV/atom
**Magnetic moment**: 0.31 μB/cell
**Space group**: P4/mmm (123)

Lattice parameters (Å, degrees): 4.127 4.127 4.091 90.00 90.00 90.00
Fractional positions:
Pm  0.000  0.000  0.000
Ni  0.500  0.500  0.000
Pd  0.000  0.500  0.500
Pd  0.500  0.000  0.500



[3]
## Co2RePt (GGA-PBE)

Data for crystalline Co2RePt at its relaxed geometry.

**Formation energy**: -12 meV/atom
**Electronic total energy**: -8.19 eV/atom
**Excess energy over the best structure of this formula in the dataset**: 0.00 eV per formula unit
**Magnetic moment**: 2.02 μB/cell
**Space group**: P4/mmm (123)

Lattice parameters (Å, degrees): 2.658 2.658 7.357 90.00 90.00 90.00
Fractional positions:
Co  0.000  0.000  0.243
Co  0.000  0.000  0.757
Re  0.500  0.500  0.000
Pt  0.500  0.500  0.500



[4]
## ZnCdAg3 (GGA-PBE)

Data for crystalline ZnCdAg3 at its relaxed geometry.

**Formation energy**: 732 meV/atom
**Electronic total energy**: -1.42 eV/atom
**Excess energy over the best structure of this formula in the dataset**: 3.74 eV per formula unit
**Magnetic moment**: 0.00 μB/cell
**Space group**: Pm-3m (221)

Lattice parameters (Å, degrees): 5.221 5.221 5.221 90.00 90.00 90.00
Fractional positions:
Zn  0.000  0.000  0.000
Cd  0.500  0.500  0.500
Ag  0.000  0.500  0.500
Ag  0.500  0.000  0.500
Ag  0.500  0.500  0.000



[5]
## YBiTe2N (GGA-PBE)

Data for crystalline YBiTe2N at its relaxed geometry.

**Electronic total energy**: -4.57 eV/atom
**Excess energy over the best structure of this formula in the dataset**: 1.46 eV per formula unit
**Magnetic moment**: 0.38 μB/cell
**Space group**: P4/mmm (123)
**ΔE_f (raw)**: 421 meV/atom

Lattice parameters (Å, degrees): 5.911 5.911 4.273 90.00 90.00 90.00
Fractional positions:
Y  0.000  0.000  0.000
Bi  0.500  0.500  0.500
Te  0.000  0.500  0.500
Te  0.500  0.000  0.500
N  0.500  0.500  0.000



[6]
## NaCa3Co (GGA-PBE)

Data for crystalline NaCa3Co at its relaxed geometry.

**Formation energy**: 62 meV/atom
**Electronic total energy**: -2.82 eV/atom
**Excess energy over the best structure of this formula in the dataset**: 0.00 eV per formula unit
**Magnetic moment**: 1.08 μB/cell
**Space group**: P2_1/m (11)

Lattice parameters (Å, degrees): 9.234 4.019 9.719 90.00 113.82 90.00
Fractional positions:
Na  0.076  0.250  0.385
Na  0.924  0.750  0.615
Ca  0.204  0.250  0.968
Ca  0.340  0.750  0.725
Ca  0.360  0.750  0.318
Ca  0.640  0.250  0.682
Ca  0.660  0.250  0.275
Ca  0.796  0.750  0.032
Co  0.478  0.750  0.038
Co  0.522  0.250  0.962



[7]
## PmInPb2 (GGA-PBE)

Data for crystalline PmInPb2 at its relaxed geometry.

**Formation energy**: -385 meV/atom
**Electronic total energy**: -4.11 eV/atom
**Magnetic moment**: 0.00 μB/cell
**Space group**: P4/mmm (123)

Lattice parameters (Å, degrees): 4.846 4.846 4.859 90.00 90.00 90.00
Fractional positions:
Pm  0.000  0.000  0.000
In  0.500  0.500  0.000
Pb  0.000  0.500  0.500
Pb  0.500  0.000  0.500



[8]
## La2HoHf (GGA-PBE)

Data for crystalline La2HoHf at its relaxed geometry.

**Formation energy**: 200 meV/atom
**Electronic total energy**: -5.90 eV/atom
**Excess energy over the best structure of this formula in the dataset**: 0.09 eV per formula unit
**Magnetic moment**: 0.00 μB/cell
**Space group**: P4/mmm (123)

Lattice parameters (Å, degrees): 4.070 4.070 7.449 90.00 90.00 90.00
Fractional positions:
La  0.000  0.000  0.227
La  0.000  0.000  0.773
Ho  0.500  0.500  0.500
Hf  0.500  0.500  0.000